Entry 1:
LaIrRu | PBE | relaxed

As for the total energy: -7.434 eV/atom. The calculation puts the polymorph energy (0 for the lowest one) at 48.96 kJ/mol of atoms. The volume comes out at 22.02 Å³ per atom.

Unit cell a=4.5372 b=4.5372 c=4.5372 alpha=60.00 beta=60.00 gamma=60.00
With the nearest neighbours (Å) after each atom.
Atoms (fractional coordinates):
1 Ru 0.7500 0.7500 0.7500  4 La 2.78, 4 Ir 2.78
2 La 0.5000 0.5000 0.5000  4 Ru 2.78
3 Ir 0.0000 0.0000 0.0000  4 Ru 2.78

Entry 2:
Na3Zn2As2 | PBE | relaxed

As for the total energy: -2.556 eV/atom. The volume comes out at 23.01 Å³ per atom.

Unit cell a=5.5219 b=8.8768 c=13.1421 alpha=90.00 beta=90.00 gamma=90.00
With the nearest neighbours (Å) after each atom.
Atoms (fractional coordinates):
1 Na 0.1114 0.6572 0.1149  4 As 3.01-3.28, 4 Zn 3.13-3.32, 1 Na 3.27
2 Na 0.3454 0.2788 0.2500  5 As 3.08-3.31, 2 Zn 3.22, 2 Na 3.27
3 Na 0.8886 0.3428 0.6149  4 As 3.01-3.28, 4 Zn 3.13-3.32, 1 Na 3.27
4 As 0.3939 0.2500 0.0000  4 Zn 2.63-2.67
5 As 0.1630 0.9425 0.2500  2 Zn 2.49
6 Zn 0.6317 0.0241 0.9171  3 As 2.49-2.67, 1 Zn 2.65
7 As 0.8370 0.0575 0.7500  2 Zn 2.49
8 Na 0.1114 0.6572 0.3851  4 As 3.01-3.28, 4 Zn 3.13-3.32, 1 Na 3.27
9 Na 0.1114 0.8428 0.6149  4 As 3.01-3.28, 4 Zn 3.13-3.32, 1 Na 3.27
10 Zn 0.3683 0.5241 0.9171  3 As 2.49-2.67, 1 Zn 2.65
11 Zn 0.3683 0.5241 0.5829  3 As 2.49-2.67, 1 Zn 2.65
12 As 0.1630 0.5575 0.7500  2 Zn 2.49
13 Na 0.8886 0.3428 0.8851  4 As 3.01-3.28, 4 Zn 3.13-3.32, 1 Na 3.27
14 Zn 0.3683 0.9759 0.4171  3 As 2.49-2.67, 1 Zn 2.65
15 As 0.6061 0.7500 0.0000  4 Zn 2.63-2.67
16 Zn 0.6317 0.4759 0.0829  3 As 2.49-2.67, 1 Zn 2.65
17 Na 0.6546 0.7788 0.2500  5 As 3.08-3.31, 2 Zn 3.22, 2 Na 3.27
18 As 0.8370 0.4425 0.2500  2 Zn 2.49
19 Zn 0.6317 0.0241 0.5829  3 As 2.49-2.67, 1 Zn 2.65
20 Na 0.8886 0.1572 0.3851  4 As 3.01-3.28, 4 Zn 3.13-3.32, 1 Na 3.27
21 Zn 0.3683 0.9759 0.0829  3 As 2.49-2.67, 1 Zn 2.65
22 Na 0.1114 0.8428 0.8851  4 As 3.01-3.28, 4 Zn 3.13-3.32, 1 Na 3.27
23 As 0.6061 0.7500 0.5000  4 Zn 2.63-2.67
24 As 0.3939 0.2500 0.5000  4 Zn 2.63-2.67
25 Zn 0.6317 0.4759 0.4171  3 As 2.49-2.67, 1 Zn 2.65
26 Na 0.6546 0.7212 0.7500  5 As 3.08-3.31, 2 Zn 3.22, 2 Na 3.27
27 Na 0.3454 0.2212 0.7500  5 As 3.08-3.31, 2 Zn 3.22, 2 Na 3.27
28 Na 0.8886 0.1572 0.1149  4 As 3.01-3.28, 4 Zn 3.13-3.32, 1 Na 3.27

Entry 3:
TaInSb | PBE | relaxed

The value obtained for the formation energy without anion corrections is 248 kJ/mol of formula units. As for the total energy: -5.381 eV/atom. The calculation puts the polymorph energy (0 for the lowest one) at 70.53 kJ/mol of atoms. The volume comes out at 25.84 Å³ per atom.

Unit cell a=4.7858 b=4.7858 c=4.7858 alpha=60.00 beta=60.00 gamma=60.00
With the nearest neighbours (Å) after each atom.
Atoms (fractional coordinates):
1 In 0.5000 0.5000 0.5000  4 Sb 2.93
2 Ta 0.0000 0.0000 0.0000  4 Sb 2.93
3 Sb 0.2500 0.2500 0.2500  4 In 2.93, 4 Ta 2.93

Entry 4:
AcMg6Pd2 | PBE | relaxed

As for the total energy: -3.010 eV/atom. The volume comes out at 24.17 Å³ per atom.

Unit cell a=4.7719 b=7.1814 c=7.1814 alpha=77.53 beta=70.65 gamma=70.65
With the nearest neighbours (Å) after each atom.
Atoms (fractional coordinates):
1 Mg 0.5000 0.3241 0.6759  2 Pd 2.69
2 Mg 0.5000 0.6759 0.3241  2 Pd 2.69
3 Mg 0.7879 0.5495 0.8746  3 Pd 2.80-3.13, 3 Mg 2.92-2.96
4 Pd 0.7145 0.2859 0.2859  6 Mg 2.69-2.80, 1 Ac 2.90
5 Mg 0.7879 0.8746 0.5495  3 Pd 2.80-3.13, 3 Mg 2.92-2.96
6 Ac 0.0000 0.0000 0.0000  2 Pd 2.90
7 Mg 0.2121 0.1254 0.4505  3 Pd 2.80-3.13, 3 Mg 2.92-2.96
8 Pd 0.2855 0.7141 0.7141  6 Mg 2.69-2.80, 1 Ac 2.90
9 Mg 0.2121 0.4505 0.1254  3 Pd 2.80-3.13, 3 Mg 2.92-2.96

Entry 5:
Li2TiZn | PBE | relaxed

As for the total energy: -2.858 eV/atom. The volume comes out at 17.20 Å³ per atom.

Unit cell a=7.1663 b=7.1663 c=5.7322 alpha=51.31 beta=51.31 gamma=90.00
With the nearest neighbours (Å) after each atom.
Atoms (fractional coordinates):
1 Zn 0.7500 0.2500 0.5000  4 Li 2.49, 2 Ti 2.68
2 Ti 0.2500 0.7500 0.5000  2 Zn 2.68, 4 Li 2.76
3 Li 0.3750 0.3472 0.7500  2 Zn 2.49, 2 Li 2.71, 2 Ti 2.76
4 Li 0.6528 0.1250 0.2500  2 Zn 2.49, 2 Li 2.71, 2 Ti 2.76
5 Zn 0.0000 0.0000 0.0000  4 Li 2.49, 2 Ti 2.68
6 Li 0.0972 0.6250 0.2500  2 Zn 2.49, 2 Li 2.71, 2 Ti 2.76
7 Li 0.8750 0.9028 0.7500  2 Zn 2.49, 2 Li 2.71, 2 Ti 2.76
8 Ti 0.5000 0.5000 0.0000  2 Zn 2.68, 4 Li 2.76

Entry 6:
LiGdCoPb | PBE | relaxed

As for the total energy: -6.899 eV/atom. The volume comes out at 18.66 Å³ per atom.

Unit cell a=4.7264 b=4.7264 c=4.7264 alpha=60.00 beta=60.00 gamma=60.00
With the nearest neighbours (Å) after each atom.
Atoms (fractional coordinates):
1 Pb 0.7500 0.7500 0.7500  4 Li 2.89, 4 Co 2.89
2 Li 0.5000 0.5000 0.5000  4 Gd 2.89, 4 Pb 2.89
3 Co 0.0000 0.0000 0.0000  4 Pb 2.89, 4 Gd 2.89
4 Gd 0.2500 0.2500 0.2500  4 Co 2.89, 4 Li 2.89

Entry 7:
AcPrOs | PBE | relaxed

As for the total energy: -6.706 eV/atom. The calculation puts the polymorph energy (0 for the lowest one) at 0.00 kJ/mol of atoms. The volume comes out at 30.85 Å³ per atom.

Unit cell a=5.0771 b=5.0771 c=5.0771 alpha=60.00 beta=60.00 gamma=60.00
With the nearest neighbours (Å) after each atom.
Atoms (fractional coordinates):
1 Os 0.2500 0.2500 0.2500  4 Ac 3.11, 4 Pr 3.11
2 Pr 0.0000 0.0000 0.0000  4 Os 3.11
3 Ac 0.5000 0.5000 0.5000  4 Os 3.11

Entry 8:
Sc4CdPd5 | PBE | relaxed

As for the total energy: -6.043 eV/atom. The volume comes out at 18.02 Å³ per atom.

Unit cell a=3.2748 b=3.2748 c=16.8028 alpha=90.00 beta=90.00 gamma=90.00
With the nearest neighbours (Å) after each atom.
Atoms (fractional coordinates):
1 Pd 0.5000 0.5000 0.8950  4 Sc 2.78, 4 Cd 2.91
2 Cd 0.0000 0.0000 0.0000  8 Pd 2.91
3 Pd 0.5000 0.5000 0.7015  8 Sc 2.86-2.88
4 Pd 0.5000 0.5000 0.2985  8 Sc 2.86-2.88
5 Pd 0.5000 0.5000 0.5000  8 Sc 2.87
6 Sc 0.0000 0.0000 0.1966  8 Pd 2.78-2.88
7 Sc 0.0000 0.0000 0.3989  8 Pd 2.86-2.87
8 Pd 0.5000 0.5000 0.1050  4 Sc 2.78, 4 Cd 2.91
9 Sc 0.0000 0.0000 0.6011  8 Pd 2.86-2.87
10 Sc 0.0000 0.0000 0.8034  8 Pd 2.78-2.88

Entry 9:
Mg3NbC | PBE | relaxed

As for the total energy: -4.056 eV/atom. The calculation puts the polymorph energy (0 for the lowest one) at 0.00 kJ/mol of atoms. The volume comes out at 17.13 Å³ per atom.

Unit cell a=4.4077 b=4.4077 c=4.4077 alpha=90.00 beta=90.00 gamma=90.00
With the nearest neighbours (Å) after each atom.
Atoms (fractional coordinates):
1 Nb 0.5000 0.5000 0.5000  12 Mg 3.12
2 Mg 0.5000 0.0000 0.0000  2 C 2.20
3 C 0.0000 0.0000 0.0000  6 Mg 2.20
4 Mg 0.0000 0.0000 0.5000  2 C 2.20
5 Mg 0.0000 0.5000 0.0000  2 C 2.20

Entry 10:
Y4W | PBE | relaxed

As for the total energy: -7.457 eV/atom. The calculation puts the polymorph energy (0 for the lowest one) at 0.00 kJ/mol of atoms. The volume comes out at 28.79 Å³ per atom.

Unit cell a=6.6612 b=6.6612 c=6.6612 alpha=93.92 beta=93.92 gamma=149.70
With the nearest neighbours (Å) after each atom.
Atoms (fractional coordinates):
1 Y 0.5766 0.2404 0.8170  2 W 3.01
2 Y 0.7596 0.5766 0.3361  2 W 3.01
3 Y 0.2404 0.4234 0.6639  2 W 3.01
4 Y 0.4234 0.7596 0.1830  2 W 3.01
5 W 0.0000 0.0000 0.0000  8 Y 3.01

Entry 11:
TbHo2ScSb4 | PBE | relaxed

The value obtained for the formation energy without anion corrections is -822 kJ/mol of formula units. As for the total energy: -5.641 eV/atom. The volume comes out at 28.74 Å³ per atom.

Unit cell a=6.1305 b=6.1305 c=7.4976 alpha=114.13 beta=114.13 gamma=90.00
With the nearest neighbours (Å) after each atom.
Atoms (fractional coordinates):
1 Tb 0.9375 0.9375 0.0000  6 Sb 3.07-3.13
2 Sb 0.6809 0.6809 0.4879  1 Sc 2.98, 4 Ho 3.07, 1 Tb 3.13
3 Sb 0.1931 0.1931 0.5121  1 Sc 2.98, 4 Ho 3.07, 1 Tb 3.13
4 Sb 0.9374 0.4375 0.0000  2 Ho 3.06, 2 Sc 3.06-3.07, 2 Tb 3.07
5 Ho 0.6870 0.1870 0.5000  6 Sb 3.06-3.07
6 Sb 0.4375 0.9374 0.0000  2 Ho 3.06, 2 Sc 3.06-3.07, 2 Tb 3.07
7 Ho 0.1870 0.6870 0.5000  6 Sb 3.06-3.07
8 Sc 0.4370 0.4370 0.0000  6 Sb 2.98-3.07

Entry 12:
Ce4YTh | PBE | relaxed

As for the total energy: -6.080 eV/atom. The calculation puts the polymorph energy (0 for the lowest one) at 9.50 kJ/mol of atoms. The volume comes out at 29.03 Å³ per atom.

Unit cell a=6.2689 b=6.2689 c=6.2689 alpha=60.00 beta=60.00 gamma=60.00
With the nearest neighbours (Å) after each atom.
Atoms (fractional coordinates):
1 Th 0.2500 0.2500 0.2500  12 Ce 3.67, 4 Y 3.84
2 Ce 0.1265 0.6245 0.6245  6 Ce 3.12-3.15
3 Ce 0.6245 0.1265 0.6245  6 Ce 3.12-3.15
4 Ce 0.6245 0.6245 0.1265  6 Ce 3.12-3.15
5 Y 0.0000 0.0000 0.0000  12 Ce 3.68, 4 Th 3.84
6 Ce 0.6245 0.6245 0.6245  6 Ce 3.12-3.15